Entry from Alexandria via LeMat-Bulk: an optimized crystal structure of Pm2ThPb (GGA-PBE).

Values from the calculation:
Energy relative to the lowest polymorph listed for this composition (eV/f.u.): 0.265
Density of states at the Fermi level (states/eV/atom): 1.56

Cell lengths 3.940, 3.940, 8.031 Å; angles 90.00, 90.00, 90.00 degrees
Atoms (fractional coordinates):
Pb: 0.500 0.500 0.000
Th: 0.500 0.500 0.500
Pm: 0.000 0.000 0.770
Pm: 0.000 0.000 0.230

***

Entry from Alexandria via LeMat-Bulk: an optimized crystal structure of ZnCu2Te (GGA-PBE).

Values from the calculation:
Energy relative to the lowest polymorph listed for this composition (eV/f.u.): 0.332
Density of states at the Fermi level (states/eV/atom): 0.46
Energy relative to the elements, uncorrected (meV per atom): 168

Cell lengths 4.189, 4.189, 8.940 Å; angles 76.45, 76.45, 90.00 degrees
Atoms (fractional coordinates):
Zn: 0.500 0.500 0.000
Zn: 0.250 0.750 0.500
Te: 0.000 0.000 0.000
Te: 0.750 0.250 0.500
Cu: 0.569 0.125 0.250
Cu: 0.181 0.625 0.250
Cu: 0.375 0.431 0.750
Cu: 0.875 0.819 0.750

***

Entry from Alexandria via LeMat-Bulk: an optimized crystal structure of Mg2RuAuN (GGA-PBE).

Values from the calculation:
Density of states at the Fermi level (states/eV/atom): 0.45
Energy relative to the elements, uncorrected (meV per atom): -368

Cell lengths 4.390, 4.390, 3.824 Å; angles 90.00, 90.00, 90.00 degrees
Atoms (fractional coordinates):
Ru: 0.000 0.000 0.500
Mg: 0.000 0.500 0.000
Mg: 0.500 0.000 0.000
Au: 0.500 0.500 0.500
N: 0.000 0.000 0.000

***

Entry from Alexandria via LeMat-Bulk: an optimized crystal structure of NdHo2ReO8 (GGA-PBE).

Values from the calculation:
Energy relative to the elements, uncorrected (meV per atom): -2763

Cell lengths 5.064, 5.063, 6.852 Å; angles 90.00, 90.00, 89.70 degrees
Atoms (fractional coordinates):
Nd: 0.000 0.000 0.500
Ho: 0.500 0.500 0.749
Ho: 0.500 0.500 0.251
Re: 0.000 0.000 0.000
O: 0.184 0.815 0.201
O: 0.734 0.735 0.000
O: 0.816 0.185 0.201
O: 0.816 0.185 0.799
O: 0.266 0.265 0.000
O: 0.184 0.815 0.799
O: 0.684 0.684 0.500
O: 0.316 0.316 0.500

***

Entry from Alexandria via LeMat-Bulk: an optimized crystal structure of Dy5Co3 (GGA-PBE).

Values from the calculation:
Density of states at the Fermi level (states/eV/atom): 0.89
E_tot (eV/cell): -182.59

Cell lengths 7.059, 7.059, 14.208 Å; angles 90.00, 90.00, 90.00 degrees
Atoms (fractional coordinates):
Dy: 0.822 0.822 0.607
Dy: 0.178 0.822 0.107
Dy: 0.178 0.822 0.393
Dy: 0.000 0.500 0.750
Dy: 0.822 0.178 0.393
Dy: 0.678 0.678 0.393
Dy: 0.678 0.322 0.607
Dy: 0.322 0.678 0.607
Dy: 0.000 0.500 0.250
Dy: 0.678 0.678 0.107
Dy: 0.678 0.322 0.893
Dy: 0.822 0.822 0.893
Dy: 0.322 0.322 0.393
Dy: 0.178 0.178 0.607
Dy: 0.822 0.178 0.107
Dy: 0.322 0.678 0.893
Dy: 0.322 0.322 0.107
Dy: 0.500 0.000 0.250
Dy: 0.178 0.178 0.893
Dy: 0.500 0.000 0.750
Co: 0.613 0.387 0.250
Co: 0.113 0.887 0.750
Co: 0.387 0.387 0.750
Co: 0.387 0.613 0.250
Co: 0.887 0.887 0.250
Co: 0.613 0.613 0.750
Co: 0.000 0.500 0.500
Co: 0.887 0.113 0.750
Co: 0.500 0.000 0.500
Co: 0.500 0.000 0.000
Co: 0.113 0.113 0.250
Co: 0.000 0.500 0.000

***

Entry from Alexandria via LeMat-Bulk: an optimized crystal structure of MnSi (GGA-PBE).

Values from the calculation:
Density of states at the Fermi level (states/eV/atom): 0.97
Energy relative to the elements, uncorrected (meV per atom): 34

Cell lengths 4.055, 4.055, 4.055 Å; angles 59.99, 59.99, 59.99 degrees
Atoms (fractional coordinates):
Mn: 0.125 0.125 0.125
Mn: 0.875 0.875 0.875
Si: 0.375 0.375 0.375
Si: 0.625 0.625 0.625

***

Entry from Alexandria via LeMat-Bulk: an optimized crystal structure of Cs4Nd3ThTe8 (GGA-PBE).

Values from the calculation:
Density of states at the Fermi level (states/eV/atom): 0.32
Energy relative to the elements, uncorrected (meV per atom): -1356

Cell lengths 9.279, 10.471, 9.278 Å; angles 116.31, 120.00, 90.00 degrees
Atoms (fractional coordinates):
Cs: 0.500 0.000 0.000
Cs: 0.500 0.000 0.500
Cs: 0.000 0.000 0.000
Cs: 0.000 0.000 0.500
Nd: 0.500 0.500 0.000
Nd: 0.500 0.500 0.500
Nd: 0.000 0.500 0.500
Th: 0.000 0.500 0.000
Te: 0.230 0.696 0.967
Te: 0.230 0.696 0.460
Te: 0.268 0.303 0.535
Te: 0.737 0.696 0.967
Te: 0.263 0.304 0.033
Te: 0.732 0.697 0.465
Te: 0.770 0.304 0.540
Te: 0.770 0.304 0.033

***

Entry from Alexandria via LeMat-Bulk: an optimized crystal structure of MgVCuIr (GGA-PBE).

Values from the calculation:
Density of states at the Fermi level (states/eV/atom): 0.56
E_tot (eV/cell): -24.41

Cell lengths 4.317, 4.317, 4.317 Å; angles 60.00, 60.00, 60.00 degrees
Atoms (fractional coordinates):
Mg: 0.500 0.500 0.500
Ir: 0.250 0.250 0.250
Cu: 0.750 0.750 0.750
V: 0.000 0.000 0.000

***

Entry from Alexandria via LeMat-Bulk: an optimized crystal structure of CePm4Dy5 (GGA-PBE).

Values from the calculation:
Density of states at the Fermi level (states/eV/atom): 2.04
E_tot (eV/cell): -45.44

Cell lengths 5.838, 11.812, 8.269 Å; angles 136.29, 110.67, 90.00 degrees
Atoms (fractional coordinates):
Ce: 0.500 0.000 0.000
Pm: 0.427 0.680 0.854
Pm: 0.164 0.930 0.329
Pm: 0.573 0.320 0.146
Pm: 0.836 0.070 0.671
Dy: 0.846 0.420 0.692
Dy: 0.847 0.763 0.693
Dy: 0.153 0.237 0.307
Dy: 0.500 0.500 0.000
Dy: 0.154 0.580 0.308

***

Entry from Alexandria via LeMat-Bulk: an optimized crystal structure of LaReGe2O (GGA-PBE).

Values from the calculation:
Density of states at the Fermi level (states/eV/atom): 0.55
Energy relative to the elements, uncorrected (meV per atom): -212

Cell lengths 4.962, 3.853, 4.962 Å; angles 90.00, 90.00, 90.00 degrees
Atoms (fractional coordinates):
Re: 0.000 0.500 0.000
Ge: 0.000 0.000 0.500
Ge: 0.500 0.000 0.000
O: 0.000 0.000 0.000
La: 0.500 0.500 0.500

***

Entry from Alexandria via LeMat-Bulk: an optimized crystal structure of La8Si3PtI4 (GGA-PBE).

Values from the calculation:
Density of states at the Fermi level (states/eV/atom): 0.84
Energy relative to the elements, uncorrected (meV per atom): -1036

Cell lengths 8.853, 9.299, 8.853 Å; angles 118.42, 120.00, 90.00 degrees
Atoms (fractional coordinates):
La: 0.232 0.700 0.968
La: 0.232 0.700 0.464
La: 0.266 0.296 0.531
La: 0.736 0.700 0.968
La: 0.264 0.300 0.032
La: 0.734 0.704 0.469
La: 0.768 0.300 0.536
La: 0.768 0.300 0.032
Si: 0.500 0.500 0.000
Si: 0.500 0.500 0.500
Si: 0.000 0.500 0.500
Pt: 0.000 0.500 0.000
I: 0.500 0.000 0.000
I: 0.500 0.000 0.500
I: 0.000 0.000 0.000
I: 0.000 0.000 0.500

***

Entry from Alexandria via LeMat-Bulk: an optimized crystal structure of V2ReRh4 (GGA-PBE).

Values from the calculation:
Energy relative to the lowest polymorph listed for this composition (eV/f.u.): 0.000
Density of states at the Fermi level (states/eV/atom): 1.02

Cell lengths 3.994, 5.271, 9.815 Å; angles 90.00, 90.00, 90.00 degrees
Atoms (fractional coordinates):
V: 0.500 0.633 0.861
V: 0.500 0.367 0.139
V: 0.500 0.133 0.639
V: 0.500 0.867 0.361
Re: 0.000 0.000 0.500
Re: 0.000 0.500 0.000
Rh: 0.000 0.377 0.729
Rh: 0.000 0.623 0.271
Rh: 0.000 0.877 0.771
Rh: 0.000 0.123 0.229
Rh: 0.500 0.662 0.601
Rh: 0.500 0.338 0.399
Rh: 0.500 0.838 0.101
Rh: 0.500 0.162 0.899

***

Number 1: density 9712 kg/m³. Number 2: density 7181 kg/m³. Number 3: density 8124 kg/m³. Number 4: density 7452 kg/m³. Number 5: density 9282 kg/m³. Number 6: density 5851 kg/m³. Number 7: density 5489 kg/m³. Number 8: density 9664 kg/m³. Number 9: density 7512 kg/m³. Number 10: density 8512 kg/m³. Number 11: density 5978 kg/m³. Number 12: density 11247 kg/m³.